1.
SiTe | PBE | optimized geometry

Summary:
ρ (Mg/m³): 5.34
Formation energy from raw total energies (eV/atom): 0.362
Crystal system: hexagonal
Space-group type: P6_3/mmc
VASP energy (eV for the cell shown): -15.68

a b c (Å): 3.8754 3.8754 7.4460
angles (deg): 90.00 90.00 120.00
Sites, in units of the cell vectors:
Si 0.3333 0.6667 0.2500
Si 0.6667 0.3333 0.7500
Te 0.0000 0.0000 0.0000
Te 0.0000 0.0000 0.5000

2.
LiAc2AsO5 | PBE | optimized geometry

Summary:
ρ (Mg/m³): 6.54
Formation energy from raw total energies (eV/atom): -2.137
Crystal system: tetragonal
Space-group type: P4/mbm
VASP energy (eV for the cell shown): -117.60

a b c (Å): 7.1794 7.1794 6.0718
angles (deg): 90.00 90.00 90.00
Sites, in units of the cell vectors:
Li 0.0000 0.0000 0.0000
Li 0.5000 0.5000 0.0000
Ac 0.1787 0.3213 0.5000
Ac 0.3213 0.8213 0.5000
Ac 0.6787 0.1787 0.5000
Ac 0.8213 0.6787 0.5000
As 0.0000 0.5000 0.0000
As 0.5000 0.0000 0.0000
O 0.0000 0.0000 0.5000
O 0.1348 0.6348 0.2422
O 0.1348 0.6348 0.7578
O 0.3652 0.1348 0.2422
O 0.3652 0.1348 0.7578
O 0.5000 0.5000 0.5000
O 0.6348 0.8652 0.2422
O 0.6348 0.8652 0.7578
O 0.8652 0.3652 0.2422
O 0.8652 0.3652 0.7578